Material: Mg2TaSb
Method: DFT, SCAN
State: PBEsol geometry

Summary:
As for the density of states at the Fermi level: 0.451 states/eV/atom. The formation energy from raw total energies comes out at 153 meV per atom.

a b c (Å): 2.9226 5.0669 5.4658
angles (deg): 90.00 90.00 90.00
Fractional coordinates of all 4 atoms:
Sb1 0.5000 0.0000 0.5030
Ta1 0.5000 0.5000 0.2363
Mg1 0.0000 0.0000 0.0259
Mg2 0.0000 0.5000 0.7349

***

Material: HfScSb2N
Method: DFT, SCAN
State: PBEsol geometry

Summary:
As for the density of states at the Fermi level: 0.581 states/eV/atom. The formation energy from raw total energies comes out at -309 meV per atom.

a b c (Å): 4.1215 4.8936 4.8936
angles (deg): 90.00 90.00 90.00
Fractional coordinates of all 5 atoms:
N1 0.0000 0.0000 0.0000
Sb1 0.0000 0.5000 0.0000
Sb2 0.0000 0.0000 0.5000
Hf1 0.5000 0.0000 0.0000
Sc1 0.5000 0.5000 0.5000

***

Material: Sc3InCl
Method: DFT, SCAN
State: PBEsol geometry

Summary:
As for the density of states at the Fermi level: 0.804 states/eV/atom. The formation energy from raw total energies comes out at -645 meV per atom.

a b c (Å): 4.7179 4.7179 4.7179
angles (deg): 90.00 90.00 90.00
Fractional coordinates of all 5 atoms:
Sc1 0.0000 0.0000 0.5000
Sc2 0.5000 0.0000 0.0000
Sc3 0.0000 0.5000 0.0000
In1 0.5000 0.5000 0.5000
Cl1 0.0000 0.0000 0.0000